Arrangement one

Entry from Alexandria: a relaxed Ti6Al3Zn crystal (PBE).

a = 7.6685 Å, b = 4.6005 Å, c = 9.9320 Å
α = 90.00°, β = 111.58°, γ = 90.00°
Sites, in units of the cell vectors:
Ti  0.0068  0.2500  0.1721
Ti  0.0121  0.2500  0.6637
Ti  0.2003  0.7500  0.6341
Ti  0.2125  0.2500  0.9701
Ti  0.3854  0.7500  0.4310
Ti  0.4179  0.2500  0.7720
Ti  0.5821  0.7500  0.2280
Ti  0.6146  0.2500  0.5690
Ti  0.7875  0.7500  0.0299
Ti  0.7997  0.2500  0.3659
Ti  0.9879  0.7500  0.3363
Ti  0.9932  0.7500  0.8279
Al  0.1874  0.7500  0.1340
Al  0.2031  0.2500  0.4703
Al  0.3980  0.2500  0.2701
Al  0.6020  0.7500  0.7299
Al  0.7969  0.7500  0.5297
Al  0.8126  0.2500  0.8660
Zn  0.3953  0.7500  0.9301
Zn  0.6047  0.2500  0.0699

Output
* space-group type: No. 11
* total magnetization: 0.0000 μB/atom



Arrangement two

Entry from Alexandria: a relaxed Ti6Al3Zn crystal (PBE).

a = 8.8194 Å, b = 8.8194 Å, c = 5.3666 Å
α = 90.00°, β = 90.00°, γ = 126.47°
Sites, in units of the cell vectors:
Ti  0.0153  0.9847  0.5000
Ti  0.0882  0.5393  0.9908
Ti  0.2593  0.3770  0.7667
Ti  0.2660  0.7340  0.5741
Ti  0.3770  0.2593  0.2667
Ti  0.4607  0.9118  0.9908
Ti  0.5393  0.0882  0.4908
Ti  0.6230  0.7407  0.7667
Ti  0.7340  0.2660  0.0741
Ti  0.7407  0.6230  0.2667
Ti  0.9118  0.4607  0.4908
Ti  0.9847  0.0153  0.0000
Al  0.0663  0.2917  0.3042
Al  0.2917  0.0663  0.8042
Al  0.4069  0.5931  0.2464
Al  0.5931  0.4069  0.7464
Al  0.7083  0.9337  0.3042
Al  0.9337  0.7083  0.8042
Zn  0.1493  0.8507  0.2176
Zn  0.8507  0.1493  0.7176

Output
* space-group type: No. 36
* total magnetization: 0.0001 μB/atom



Which one is most stable, and which one is least stable? arrangement one is the most stable of them, while arrangement two is the least stable.



Arrangement one

Entry from Alexandria: a relaxed TiAl3Zn crystal (PBE).

a = 4.6107 Å, b = 4.6107 Å, c = 4.6107 Å
α = 90.00°, β = 90.00°, γ = 90.00°
Sites, in units of the cell vectors:
Ti  0.0000  0.0000  0.0000
Al  0.0000  0.5000  0.5000
Al  0.5000  0.0000  0.5000
Al  0.5000  0.5000  0.0000
Zn  0.5000  0.5000  0.5000

Output
* space-group type: No. 221
* total magnetization: 0.0001 μB/atom



Arrangement two

Entry from Alexandria: a relaxed TiAl3Zn crystal (PBE).

a = 5.0230 Å, b = 5.0230 Å, c = 5.0230 Å
α = 90.00°, β = 90.00°, γ = 90.00°
Sites, in units of the cell vectors:
Ti  0.0000  0.0000  0.0000
Al  0.0000  0.0000  0.5000
Al  0.0000  0.5000  0.0000
Al  0.5000  0.0000  0.0000
Zn  0.5000  0.5000  0.5000

Output
* space-group type: No. 221
* total magnetization: 0.3681 μB/atom



Arrangement three

Entry from Alexandria: a relaxed TiAl3Zn crystal (PBE).

a = 6.8983 Å, b = 6.8983 Å, c = 6.8983 Å
α = 90.00°, β = 90.00°, γ = 90.00°
Sites, in units of the cell vectors:
Ti  0.1895  0.1895  0.1895
Ti  0.3105  0.8105  0.6895
Ti  0.6895  0.3105  0.8105
Ti  0.8105  0.6895  0.3105
Al  0.0480  0.1253  0.8064
Al  0.1253  0.8064  0.0480
Al  0.1936  0.5480  0.3747
Al  0.3064  0.4520  0.8747
Al  0.3747  0.1936  0.5480
Al  0.4520  0.8747  0.3064
Al  0.5480  0.3747  0.1936
Al  0.6253  0.6936  0.9520
Al  0.6936  0.9520  0.6253
Al  0.8064  0.0480  0.1253
Al  0.8747  0.3064  0.4520
Al  0.9520  0.6253  0.6936
Zn  0.0415  0.9585  0.4585
Zn  0.4585  0.0415  0.9585
Zn  0.5415  0.5415  0.5415
Zn  0.9585  0.4585  0.0415

Output
* space-group type: No. 198
* total magnetization: 0.0000 μB/atom



Which one is most stable, and which one is least stable? arrangement three is the most stable of them, while arrangement two is the least stable.